BeAl2Re | PBEsol | optimized geometry

a = 3.245 Å, b = 3.961 Å, c = 4.748 Å
α = 114.65°, β = 109.98°, γ = 90.00°
Element x y z (fractional)
Re  0.234  0.734  0.468
Al  0.996  0.996  0.992
Al  0.765  0.265  0.529
Be  0.506  0.506  0.011

Properties
The value obtained for the energy of formation is -0.207 eV per atom. The spin magnetization comes out at 0.00 μB/f.u. As for the final energy: -6.5860 eV per atom.

BeAlRe4 | PBEsol | optimized geometry

a = 5.099 Å, b = 5.099 Å, c = 5.099 Å
α = 60.00°, β = 60.00°, γ = 60.00°
Element x y z (fractional)
Al  0.250  0.250  0.250
Be  0.000  0.000  0.000
Re  0.625  0.625  0.124
Re  0.124  0.625  0.625
Re  0.625  0.124  0.625
Re  0.625  0.625  0.625

Properties
The value obtained for the energy of formation is 0.574 eV per atom. The spin magnetization comes out at 0.00 μB/f.u. As for the final energy: -9.6621 eV per atom.

BeAl2Re | PBEsol | optimized geometry

a = 3.200 Å, b = 3.200 Å, c = 5.212 Å
α = 90.00°, β = 90.00°, γ = 90.00°
Element x y z (fractional)
Re  0.500  0.500  0.500
Al  0.000  0.000  0.750
Al  0.000  0.000  0.250
Be  0.500  0.500  0.000

Properties
The value obtained for the energy of formation is -0.052 eV per atom. The spin magnetization comes out at 0.00 μB/f.u. As for the final energy: -6.4310 eV per atom.

BeAlRe2 | PBEsol | optimized geometry

a = 3.040 Å, b = 4.281 Å, c = 4.817 Å
α = 116.38°, β = 108.40°, γ = 90.00°
Element x y z (fractional)
Re  0.741  0.741  0.481
Re  0.259  0.259  0.519
Al  0.500  0.000  0.000
Be  0.000  0.500  0.000

Properties
The value obtained for the energy of formation is 0.029 eV per atom. The spin magnetization comes out at 0.00 μB/f.u. As for the final energy: -8.6603 eV per atom. Its energy above the most stable polymorph in this dataset is 258 meV/atom.

BeAlRe | PBEsol | optimized geometry

a = 2.633 Å, b = 2.633 Å, c = 6.125 Å
α = 98.45°, β = 98.45°, γ = 108.43°
Element x y z (fractional)
Re  0.676  0.676  0.351
Al  0.996  0.996  0.992
Be  0.328  0.328  0.657

Properties
The value obtained for the energy of formation is 0.185 eV per atom. The spin magnetization comes out at 0.00 μB/f.u. As for the final energy: -6.9562 eV per atom. Its energy above the most stable polymorph in this dataset is 219 meV/atom.

BeAl2Re | PBEsol | optimized geometry

a = 3.366 Å, b = 3.894 Å, c = 4.693 Å
α = 114.51°, β = 111.02°, γ = 90.00°
Element x y z (fractional)
Re  0.000  0.500  0.000
Al  0.759  0.759  0.517
Al  0.241  0.241  0.483
Be  0.500  0.000  0.000

Properties
The value obtained for the energy of formation is -0.158 eV per atom. The spin magnetization comes out at 0.00 μB/f.u. As for the final energy: -6.5365 eV per atom.

BeAlRe2 | PBEsol | optimized geometry

a = 2.978 Å, b = 2.978 Å, c = 5.840 Å
α = 90.00°, β = 90.00°, γ = 90.00°
Element x y z (fractional)
Re  0.000  0.000  0.980
Re  0.500  0.500  0.240
Al  0.000  0.000  0.522
Be  0.500  0.500  0.758

Properties
The value obtained for the energy of formation is -0.229 eV per atom. The spin magnetization comes out at 0.00 μB/f.u. As for the final energy: -8.9178 eV per atom. Its energy above the most stable polymorph in this dataset is 0 meV/atom.

BeAlRe | PBEsol | optimized geometry

a = 3.981 Å, b = 3.981 Å, c = 3.981 Å
α = 60.00°, β = 60.00°, γ = 60.00°
Element x y z (fractional)
Re  0.500  0.500  0.500
Al  0.250  0.250  0.250
Be  0.000  0.000  0.000

Properties
The value obtained for the energy of formation is 0.883 eV per atom. The spin magnetization comes out at 0.73 μB/f.u. As for the final energy: -6.2577 eV per atom. Its energy above the most stable polymorph in this dataset is 917 meV/atom.